No. 1
Entry from Alexandria via LeMat-Bulk: a geometry-optimized CuAuBrF2 structure (GGA-PBE).

## Properties
**Raw formation energy**: -0.80 eV/atom
**E above lowest polymorph**: 0.000 eV per atom
**Crystal system**: tetragonal
**Space-group type**: P4/mmm (123)

Cell lengths 3.819, 3.819, 6.024 Å; angles 90.00, 90.00, 90.00 degrees
Fractional coordinates of all 5 atoms:
Cu  0.000  0.000  0.000
Au  0.000  0.000  0.500
Br  0.500  0.500  0.500
F  0.000  0.500  0.000
F  0.500  0.000  0.000

No. 2
Entry from Alexandria via LeMat-Bulk: a geometry-optimized NpHgS structure (GGA-PBE).

## Properties
**Raw formation energy**: -0.41 eV/atom
**E above lowest polymorph**: 0.149 eV per atom
**Crystal system**: trigonal
**Space-group type**: P3m1 (156)

Cell lengths 3.982, 3.982, 6.020 Å; angles 90.00, 90.00, 120.00 degrees
Fractional coordinates of all 3 atoms:
Np  0.000  0.000  0.000
Hg  0.333  0.667  0.599
S  0.667  0.333  0.225

No. 3
Entry from Alexandria via LeMat-Bulk: a geometry-optimized PaFe2Co3 structure (GGA-PBE).

## Properties
**Crystal system**: hexagonal
**Space-group type**: P6/mmm (191)
**ΔE_f**: -133 meV/atom

Cell lengths 4.874, 4.874, 4.002 Å; angles 90.00, 90.00, 120.00 degrees
Fractional coordinates of all 6 atoms:
Pa  0.000  0.000  0.000
Fe  0.333  0.667  0.000
Fe  0.667  0.333  0.000
Co  0.000  0.500  0.500
Co  0.500  0.000  0.500
Co  0.500  0.500  0.500

No. 4
Entry from Alexandria via LeMat-Bulk: a geometry-optimized CsKCa2Sn structure (GGA-PBE).

## Properties
**Crystal system**: tetragonal
**Space-group type**: P4/mmm (123)
**ΔE_f**: -57 meV/atom

Cell lengths 6.187, 6.187, 7.553 Å; angles 90.00, 90.00, 90.00 degrees
Fractional coordinates of all 5 atoms:
Cs  0.000  0.000  0.000
K  0.500  0.500  0.000
Ca  0.000  0.500  0.500
Ca  0.500  0.000  0.500
Sn  0.000  0.000  0.500

No. 5
Entry from Alexandria via LeMat-Bulk: a geometry-optimized Co2TcIr structure (GGA-PBE).

## Properties
**E above lowest polymorph**: 0.038 eV per atom
**Crystal system**: monoclinic
**Space-group type**: Cm (8)
**ΔE_f**: 20 meV/atom

Cell lengths 4.558, 4.558, 4.462 Å; angles 100.23, 100.23, 33.87 degrees
Fractional coordinates of all 4 atoms:
Co  0.000  0.000  0.000
Co  0.744  0.744  0.229
Tc  0.496  0.496  0.482
Ir  0.250  0.250  0.740

No. 6
Entry from Alexandria via LeMat-Bulk: a geometry-optimized Ac2LaCd structure (GGA-PBE).

## Properties
**E above lowest polymorph**: 0.073 eV per atom
**Crystal system**: tetragonal
**Space-group type**: P4/mmm (123)
**ΔE_f**: -65 meV/atom

Cell lengths 5.337, 5.337, 5.126 Å; angles 90.00, 90.00, 90.00 degrees
Fractional coordinates of all 4 atoms:
Ac  0.000  0.500  0.000
Ac  0.500  0.000  0.000
La  0.000  0.000  0.500
Cd  0.500  0.500  0.500

No. 7
Entry from Alexandria via LeMat-Bulk: a geometry-optimized CsNaLaI5 structure (GGA-PBE).

## Properties
**Raw formation energy**: -1.45 eV/atom
**Crystal system**: monoclinic
**Space-group type**: C2/c (15)

Cell lengths 9.073, 9.073, 12.168 Å; angles 102.43, 102.43, 109.46 degrees
Fractional coordinates of all 16 atoms:
Cs  0.160  0.840  0.750
Cs  0.840  0.160  0.250
Na  0.188  0.812  0.250
Na  0.812  0.188  0.750
La  0.500  0.500  0.000
La  0.500  0.500  0.500
I  0.134  0.244  0.936
I  0.200  0.597  0.413
I  0.244  0.134  0.436
I  0.403  0.800  0.087
I  0.430  0.570  0.750
I  0.570  0.430  0.250
I  0.597  0.200  0.913
I  0.756  0.866  0.564
I  0.800  0.403  0.587
I  0.866  0.756  0.064

No. 8
Entry from Alexandria via LeMat-Bulk: a geometry-optimized KMn5Cl12 structure (GGA-PBE).

## Properties
**Raw formation energy**: -1.13 eV/atom
**Crystal system**: monoclinic
**Space-group type**: C2/m (12)

Cell lengths 6.563, 6.563, 13.132 Å; angles 90.08, 90.08, 120.05 degrees
Fractional coordinates of all 18 atoms:
K  0.000  0.000  0.000
Mn  0.167  0.833  0.500
Mn  0.333  0.667  0.000
Mn  0.500  0.500  0.500
Mn  0.667  0.333  0.000
Mn  0.833  0.167  0.500
Cl  0.002  0.405  0.111
Cl  0.165  0.165  0.397
Cl  0.167  0.500  0.603
Cl  0.403  0.403  0.889
Cl  0.405  0.002  0.111
Cl  0.500  0.167  0.603
Cl  0.500  0.833  0.397
Cl  0.595  0.998  0.889
Cl  0.597  0.597  0.111
Cl  0.833  0.500  0.397
Cl  0.835  0.835  0.603
Cl  0.998  0.595  0.889